--- 1 ---
First-principles (GGA-PBE) data for crystalline ZrSc2Cu at its relaxed geometry, as listed in Alexandria.

Calculated values
- Symmetry: No. 44

extended XYZ file:
```
4
Lattice="5.928 0.010 0.004 4.998 3.188 0.004 1.964 0.575 4.375" Properties=species:S:1:pos:R:3 pbc="T T T"
Cu 3.244 0.949 1.088
Sc 10.590 3.099 0.171
Zr 6.740 1.973 2.048
Sc 9.690 2.836 3.278
```


--- 2 ---
First-principles (GGA-PBE) data for crystalline ZrSc2Cu at its relaxed geometry, as listed in Alexandria.

Calculated values
- Symmetry: No. 123

extended XYZ file:
```
4
Lattice="3.203 0.000 0.000 0.000 3.203 0.000 0.000 0.000 7.993" Properties=species:S:1:pos:R:3 pbc="T T T"
Cu 1.601 1.601 5.995
Sc 0.000 0.000 7.708
Zr 1.601 1.601 1.998
Sc 0.000 0.000 4.282
```


2 ends up most stable, edging out the next structure by 52 meV per atom.


--- 1 ---
First-principles (GGA-PBE) data for crystalline ZrSc2Cu at its relaxed geometry, as listed in Alexandria.

Calculated values
- Symmetry: No. 71

extended XYZ file:
```
4
Lattice="-1.387 -5.317 -2.042 0.043 -4.592 3.644 -2.232 5.278 -1.233" Properties=species:S:1:pos:R:3 pbc="T T T"
Sc -1.298 -9.571 1.547
Sc -0.718 -5.292 0.856
Zr -1.431 -2.134 1.606
Cu -2.145 -2.497 -1.237
```


--- 2 ---
First-principles (GGA-PBE) data for crystalline ZrSc2Cu at its relaxed geometry, as listed in Alexandria.

Calculated values
- Symmetry: No. 119

extended XYZ file:
```
4
Lattice="-2.524 -1.036 -4.708 0.990 -4.987 -1.939 -1.593 1.962 4.819" Properties=species:S:1:pos:R:3 pbc="T T T"
Zr -0.767 -3.012 -3.324
Cu -2.442 -1.043 -1.606
Sc -0.685 -3.018 -0.222
Sc 0.000 0.000 0.000
```


--- 3 ---
First-principles (GGA-PBE) data for crystalline ZrSc2Cu at its relaxed geometry, as listed in Alexandria.

Calculated values
- Symmetry: No. 122

extended XYZ file:
```
8
Lattice="-3.344 -2.482 6.411 5.335 -5.432 0.680 2.653 -2.133 5.116" Properties=species:S:1:pos:R:3 pbc="T T T"
Sc 3.411 -4.364 2.829
Sc 3.006 -4.841 6.530
Zr 0.152 -4.286 7.536
Sc -0.591 -2.638 5.047
Zr 0.000 0.000 0.000
Cu 4.492 -5.761 4.671
Sc 3.463 -8.250 10.007
Cu 0.996 -3.957 3.545
```


1 ends up most stable, edging out the next structure by 131 meV per atom.


--- 1 ---
First-principles (GGA-PBE) data for crystalline ZrSc2Cu at its relaxed geometry, as listed in Alexandria.

Calculated values
- Symmetry: No. 123

extended XYZ file:
```
4
Lattice="-0.296 -2.778 -3.323 -2.140 -2.805 2.536 -3.726 1.790 -1.164" Properties=species:S:1:pos:R:3 pbc="T T T"
Zr -2.011 -0.494 -2.244
Sc 0.000 0.000 0.000
Sc -1.218 -2.792 -0.393
Cu -2.933 -0.507 0.686
```


--- 2 ---
First-principles (GGA-PBE) data for crystalline ZrSc2Cu at its relaxed geometry, as listed in Alexandria.

Calculated values
- Symmetry: No. 10

extended XYZ file:
```
4
Lattice="-1.768 3.939 0.136 -0.811 -0.472 3.133 4.601 1.935 3.763" Properties=species:S:1:pos:R:3 pbc="T T T"
Sc 3.778 1.467 6.606
Cu 1.959 3.066 5.240
Sc 1.907 0.727 3.738
Zr 0.064 2.335 1.792
```


2 ends up most stable, edging out the next structure by 25 meV per atom.


--- 1 ---
First-principles (GGA-PBE) data for crystalline Zr3ScCu at its relaxed geometry, as listed in Alexandria.

Calculated values
- Symmetry: No. 221

extended XYZ file:
```
5
Lattice="-1.367 0.064 -4.775 4.142 -2.455 -1.219 -2.376 -4.317 0.623" Properties=species:S:1:pos:R:3 pbc="T T T"
Zr 2.071 -1.228 -0.610
Sc 0.199 -3.354 -2.686
Zr -1.188 -2.159 0.311
Cu 0.000 0.000 0.000
Zr -0.684 0.032 -2.387
```


--- 2 ---
First-principles (GGA-PBE) data for crystalline Zr3ScCu at its relaxed geometry, as listed in Alexandria.

Calculated values
- Symmetry: No. 221

extended XYZ file:
```
5
Lattice="-3.099 3.756 -1.120 -0.734 -1.959 -4.537 -3.850 -2.649 1.767" Properties=species:S:1:pos:R:3 pbc="T T T"
Zr -0.367 -0.980 -2.269
Cu -3.842 -0.426 -1.945
Zr -1.549 1.878 -0.560
Zr -1.925 -1.325 0.884
Sc 0.000 0.000 0.000
```


1 ends up most stable, edging out the next structure by 860 meV per atom.


--- 1 ---
First-principles (GGA-PBE) data for crystalline Zr2ScCu2 at its relaxed geometry, as listed in Alexandria.

Calculated values
- Symmetry: No. 139

extended XYZ file:
```
5
Lattice="-1.023 3.272 -2.360 -4.017 -1.054 0.280 -3.048 4.388 3.735" Properties=species:S:1:pos:R:3 pbc="T T T"
Zr -3.296 4.384 0.168
Cu -2.623 1.746 -0.112
Zr -4.792 2.221 1.487
Sc 0.000 0.000 0.000
Cu -5.465 4.859 1.767
```


--- 2 ---
First-principles (GGA-PBE) data for crystalline Zr2ScCu2 at its relaxed geometry, as listed in Alexandria.

Calculated values
- Symmetry: No. 127

extended XYZ file:
```
10
Lattice="-2.589 6.923 1.628 -7.040 -2.249 -1.633 -0.440 -0.903 3.141" Properties=species:S:1:pos:R:3 pbc="T T T"
Cu -7.163 0.644 -0.818
Sc 0.000 0.000 0.000
Zr -7.788 2.339 1.313
Zr -4.672 4.543 2.383
Cu -2.465 4.030 0.814
Sc -4.814 2.337 -0.002
Zr -2.280 1.432 1.823
Zr -5.397 -0.772 0.753
Cu -2.979 -0.009 -0.420
Cu -6.650 4.683 0.416
```


--- 3 ---
First-principles (GGA-PBE) data for crystalline Zr2ScCu2 at its relaxed geometry, as listed in Alexandria.

Calculated values
- Symmetry: No. 139

extended XYZ file:
```
5
Lattice="3.986 0.000 0.000 0.000 3.986 0.000 1.993 1.993 6.510" Properties=species:S:1:pos:R:3 pbc="T T T"
Sc 0.000 0.000 0.000
Cu 1.993 3.986 3.255
Cu 3.986 1.993 3.255
Zr 1.993 1.993 1.478
Zr 3.986 3.986 5.032
```


--- 4 ---
First-principles (GGA-PBE) data for crystalline Zr2ScCu2 at its relaxed geometry, as listed in Alexandria.

Calculated values
- Symmetry: No. 127

extended XYZ file:
```
10
Lattice="7.808 0.000 0.000 0.000 7.808 0.000 0.000 0.000 3.103" Properties=species:S:1:pos:R:3 pbc="T T T"
Cu 1.070 4.974 1.552
Cu 2.834 1.070 1.552
Sc 3.904 3.904 0.000
Zr 1.230 2.674 0.000
Sc 0.000 0.000 0.000
Cu 6.738 2.834 1.552
Zr 6.577 5.134 0.000
Cu 4.974 6.738 1.552
Zr 2.674 6.577 0.000
Zr 5.134 1.230 0.000
```


2 ends up most stable, edging out the next structure by 166 meV per atom.


--- 1 ---
First-principles (GGA-PBE) data for crystalline Sm2CuSe at its relaxed geometry, as listed in Alexandria.

Calculated values
- Symmetry: No. 166

extended XYZ file:
```
4
Lattice="-2.085 2.342 -2.597 -3.088 -1.576 -2.134 -6.237 2.027 3.644" Properties=species:S:1:pos:R:3 pbc="T T T"
Cu 0.000 0.000 0.000
Se -5.705 1.396 -0.544
Sm -8.570 2.099 -0.801
Sm -2.840 0.693 -0.287
```


--- 2 ---
First-principles (GGA-PBE) data for crystalline Sm2CuSe at its relaxed geometry, as listed in Alexandria.

Calculated values
- Symmetry: No. 160

extended XYZ file:
```
4
Lattice="-0.317 2.157 3.408 -3.347 2.153 0.727 -4.198 -4.330 4.752" Properties=species:S:1:pos:R:3 pbc="T T T"
Sm -3.496 -2.972 3.957
Se -3.939 -0.025 4.452
Cu -6.634 -1.444 7.501
Sm -1.921 0.080 2.172
```


1 ends up most stable, edging out the next structure by 65 meV per atom.